# CrCo2TcC

An optimized crystal structure of CrCo2TcC (PBE, Alexandria via LeMat-Bulk).

Properties
Calculated volume ... 76 Å³/cell
Energy of formation from the pure elements ... 1.898 eV per atom
DFT total energy ... -6.787 eV/atom
Spin magnetization ... 1.93 μB per cell

Cell: 4.443 4.443 3.836 Å, 90.00 90.00 90.00°
Space group P4/mmm (No. 123)
Inequivalent atoms, fractional coordinates:
Cr 0.000 0.000 0.000 [1 per cell]
Co 0.000 0.500 0.500 [2 per cell]
Tc 0.500 0.500 0.500 [1 per cell]
C 0.500 0.500 0.000 [1 per cell]